1.
Crystalline Y2TcOs at its relaxed geometry, computed with GGA-PBEsol.

a = 3.3766 Å, b = 4.4356 Å, c = 5.0220 Å
α = 90.00°, β = 90.00°, γ = 90.00°
Fractional coordinates of all 4 atoms:
Y  0.0000  0.0000  0.0000
Y  0.5000  0.0000  0.5000
Tc  0.0000  0.5000  0.5000
Os  0.5000  0.5000  0.0000

The value obtained for the density of states at the Fermi level is 3.303 states/eV/f.u. As for the formation energy from the elements: 0.32 eV/atom. Its calculated density is 10.289 g cm⁻³. For the total magnetic moment, the calculation gives 0.00 μB/cell.

=====

2.
Crystalline Y3TcOs at its relaxed geometry, computed with GGA-PBEsol.

a = 4.9982 Å, b = 4.9982 Å, c = 4.9982 Å
α = 90.00°, β = 90.00°, γ = 90.00°
Fractional coordinates of all 5 atoms:
Y  0.0000  0.0000  0.5000
Y  0.0000  0.5000  0.0000
Y  0.5000  0.0000  0.0000
Tc  0.0000  0.0000  0.0000
Os  0.5000  0.5000  0.5000

The value obtained for the density of states at the Fermi level is 2.918 states/eV/f.u. As for the formation energy from the elements: 0.88 eV/atom. Its calculated density is 7.380 g cm⁻³. For the total magnetic moment, the calculation gives 0.00 μB/cell.

=====

3.
Crystalline Y2TcOs at its relaxed geometry, computed with GGA-PBEsol.

a = 3.2826 Å, b = 4.7377 Å, c = 10.0164 Å
α = 90.00°, β = 90.00°, γ = 90.00°
Fractional coordinates of all 8 atoms:
Y  0.0000  0.0000  0.0000
Y  0.0000  0.5000  0.2239
Y  0.5000  0.0000  0.7239
Y  0.5000  0.5000  0.5000
Tc  0.0000  0.0000  0.4627
Tc  0.5000  0.5000  0.9627
Os  0.0000  0.5000  0.7582
Os  0.5000  0.0000  0.2582

The value obtained for the density of states at the Fermi level is 3.135 states/eV/f.u. As for the formation energy from the elements: 0.04 eV/atom. Its calculated density is 9.936 g cm⁻³. For the total magnetic moment, the calculation gives 0.00 μB/cell.

=====

4.
Crystalline Y2TcOs at its relaxed geometry, computed with GGA-PBEsol.

a = 3.3671 Å, b = 5.0061 Å, c = 8.9026 Å
α = 90.00°, β = 90.00°, γ = 90.00°
Fractional coordinates of all 8 atoms:
Y  0.0000  0.0000  0.2502
Y  0.0000  0.0000  0.7498
Y  0.5000  0.5000  0.2498
Y  0.5000  0.5000  0.7502
Tc  0.0000  0.5000  0.0000
Tc  0.5000  0.0000  0.5000
Os  0.0000  0.5000  0.5000
Os  0.5000  0.0000  0.0000

The value obtained for the density of states at the Fermi level is 3.189 states/eV/f.u. As for the formation energy from the elements: 0.32 eV/atom. Its calculated density is 10.314 g cm⁻³. For the total magnetic moment, the calculation gives 0.00 μB/cell.

=====

What did the second record say?
Crystalline Y3TcOs at its relaxed geometry, computed with GGA-PBEsol.

a = 4.9982 Å, b = 4.9982 Å, c = 4.9982 Å
α = 90.00°, β = 90.00°, γ = 90.00°
Fractional coordinates of all 5 atoms:
Y  0.0000  0.0000  0.5000
Y  0.0000  0.5000  0.0000
Y  0.5000  0.0000  0.0000
Tc  0.0000  0.0000  0.0000
Os  0.5000  0.5000  0.5000

The value obtained for the density of states at the Fermi level is 2.918 states/eV/f.u. As for the formation energy from the elements: 0.88 eV/atom. Its calculated density is 7.380 g cm⁻³. For the total magnetic moment, the calculation gives 0.00 μB/cell.

=====

- calculated density of number 3 (Y2TcOs)?
  9.936 g cm⁻³